The following is a PBE-GGA calculation of a relaxed structure of ZnAs2WBr, from Alexandria via LeMat-Bulk.

Properties
SG: P4/mmm, No. 123
Formation energy (no corrections), eV per atom: 0.49
Mass density, g/cm³: 6.2
Energy, eV per atom: -4.55
Size of the total moment, μB per formula unit: 0.12

a b c (Å): 4.865 4.865 5.378
angles (deg): 90.00 90.00 90.00
Atoms (fractional coordinates):
Zn (0.500, 0.500, 0.500)
As (0.000, 0.500, 0.000)
As (0.500, 0.000, 0.000)
Br (0.000, 0.000, 0.500)
W (0.000, 0.000, 0.000)